The following is a PBE-GGA calculation of a relaxed structure of ZrTiCuOs, from Alexandria via LeMat-Bulk. Values from VASP.

Values from the calculation:
E_tot = -8.264 eV per atom
energy of formation = -321 meV per atom

Geometry as Quantum ESPRESSO input:
```
&SYSTEM
  ibrav = 0, nat = 4, ntyp = 4
/
ATOMIC_SPECIES
Os 190.23 Os.upf
Cu 63.55 Cu.upf
Zr 91.22 Zr.upf
Ti 47.87 Ti.upf
ATOMIC_POSITIONS crystal
Os 0.500 0.500 0.500
Cu 0.000 0.000 0.000
Zr 0.750 0.750 0.750
Ti 0.250 0.250 0.250
CELL_PARAMETERS angstrom
4.521 0.000 0.000
2.260 3.915 0.000
2.260 1.305 3.691
```

The following is a PBE-GGA calculation of a relaxed structure of ZnGa2Au, from Alexandria via LeMat-Bulk. Values from VASP.

Values from the calculation:
E_tot = -2.647 eV per atom
energy of formation = 4 meV per atom

Geometry as Quantum ESPRESSO input:
```
&SYSTEM
  ibrav = 0, nat = 4, ntyp = 3
/
ATOMIC_SPECIES
Zn 65.41 Zn.upf
Au 196.97 Au.upf
Ga 69.72 Ga.upf
ATOMIC_POSITIONS crystal
Zn 0.000 0.000 0.000
Au 0.500 0.500 0.500
Ga 0.091 0.091 0.727
Ga 0.909 0.909 0.273
CELL_PARAMETERS angstrom
-2.957 0.824 0.496
-2.232 -2.164 0.032
-0.533 -1.547 9.145
```

The following is a PBE-GGA calculation of a relaxed structure of TlHg5H4, from Alexandria via LeMat-Bulk. Values from VASP.

Values from the calculation:
E_tot = -1.388 eV per atom

Geometry as Quantum ESPRESSO input:
```
&SYSTEM
  ibrav = 0, nat = 10, ntyp = 3
/
ATOMIC_SPECIES
Tl 204.38 Tl.upf
Hg 200.59 Hg.upf
H 1.01 H.upf
ATOMIC_POSITIONS crystal
Tl 0.824 0.000 0.000
Hg 0.338 0.442 0.000
Hg 0.338 0.000 0.442
Hg 0.781 0.000 0.558
Hg 0.780 0.558 0.000
Hg 0.295 0.000 0.000
H 0.033 0.301 0.699
H 0.732 0.301 0.301
H 0.334 0.699 0.699
H 0.033 0.699 0.301
CELL_PARAMETERS angstrom
8.924 0.000 3.570
4.462 4.807 1.785
2.677 0.000 6.248
```

The following is a PBE-GGA calculation of a relaxed structure of Dy6Ag5Rh, from Alexandria via LeMat-Bulk. Values from VASP.

Values from the calculation:
E_tot = -4.517 eV per atom
energy of formation = -415 meV per atom

Geometry as Quantum ESPRESSO input:
```
&SYSTEM
  ibrav = 0, nat = 12, ntyp = 3
/
ATOMIC_SPECIES
Rh 102.91 Rh.upf
Ag 107.87 Ag.upf
Dy 162.50 Dy.upf
ATOMIC_POSITIONS crystal
Rh 0.000 0.000 0.000
Ag 0.667 0.500 0.665
Ag 0.326 0.000 0.349
Ag 0.000 0.500 0.000
Ag 0.674 0.000 0.651
Ag 0.333 0.500 0.335
Dy 0.841 0.756 0.319
Dy 0.841 0.244 0.319
Dy 0.500 0.237 0.000
Dy 0.500 0.763 0.000
Dy 0.159 0.756 0.681
Dy 0.159 0.244 0.681
CELL_PARAMETERS angstrom
4.814 -0.029 1.604
0.039 7.231 0.013
-0.002 -0.014 8.031
```